The following is a DFT calculation (PBE) of an optimized crystal structure of Gd2LuIr.

Values from the calculation:
Formation energy from the elements ... -0.268 eV per atom

Structure (extended XYZ):
```
4
Lattice="1.920 1.108 9.307 -1.920 1.108 9.307 0.000 -2.217 9.307" Properties=species:S:1:pos:R:3 pbc="T T T"
Gd 0.000 0.000 6.325
Gd 0.000 0.000 21.595
Lu 0.000 0.000 0.000
Ir 0.000 0.000 13.960
```